The following is a DFT calculation (PBE) of a relaxed Pr3Tm4Al4 crystal.

abc: 5.088 7.265 9.410
angles: 112.71 105.69 90.00
Fractional positions:
Pr  0.110  0.110  0.219
Pr  0.890  0.890  0.781
Pr  0.000  0.500  0.000
Tm  0.323  0.101  0.645
Tm  0.677  0.455  0.355
Tm  0.677  0.899  0.355
Tm  0.323  0.545  0.645
Al  0.189  0.689  0.378
Al  0.811  0.311  0.622
Al  0.500  0.814  0.000
Al  0.500  0.186  0.000

Calculated formation energy: -0.201 eV per atom
Calculated total energy: -4.491 eV/atom
Space group: No. 71

***

The following is a DFT calculation (PBE) of a relaxed Pr2Tm2Al crystal.

abc: 3.541 3.541 12.089
angles: 98.42 98.42 90.00
Fractional positions:
Pr  0.811  0.811  0.621
Pr  0.189  0.189  0.379
Tm  0.579  0.579  0.158
Tm  0.421  0.421  0.842
Al  0.000  0.000  0.000

Calculated formation energy: -0.153 eV per atom
Distance to the lowest polymorph of the same formula: 0.000 eV/f.u.
Calculated total energy: -4.602 eV/atom
Space group: No. 139

***

The following is a DFT calculation (PBE) of a relaxed Pr2Tm2Al crystal.

abc: 4.928 4.928 8.998
angles: 74.11 74.11 60.00
Fractional positions:
Pr  0.565  0.565  0.305
Pr  0.435  0.435  0.695
Tm  0.301  0.301  0.097
Tm  0.699  0.699  0.903
Al  0.000  0.000  0.000

Calculated formation energy: 0.395 eV per atom
Distance to the lowest polymorph of the same formula: 2.740 eV/f.u.
Calculated total energy: -4.054 eV/atom
Space group: No. 166

***

The following is a DFT calculation (PBE) of a relaxed PrTm2Al2 crystal.

abc: 3.636 5.229 13.609
angles: 90.00 97.68 90.00
Fractional positions:
Pr  0.856  0.750  0.711
Pr  0.144  0.250  0.289
Tm  0.047  0.750  0.095
Tm  0.953  0.250  0.905
Tm  0.232  0.750  0.466
Tm  0.768  0.250  0.534
Al  0.640  0.750  0.281
Al  0.360  0.250  0.719
Al  0.454  0.750  0.908
Al  0.546  0.250  0.092

Calculated formation energy: -0.278 eV per atom
Distance to the lowest polymorph of the same formula: 0.000 eV/f.u.
Calculated total energy: -4.519 eV/atom
Space group: No. 11

***

The following is a DFT calculation (PBE) of a relaxed PrTm2Al2 crystal.

abc: 3.777 5.571 13.139
angles: 96.57 90.00 90.00
Fractional positions:
Pr  0.250  0.680  0.234
Pr  0.750  0.320  0.766
Tm  0.250  0.849  0.891
Tm  0.750  0.151  0.109
Tm  0.250  0.259  0.534
Tm  0.750  0.741  0.466
Al  0.250  0.794  0.657
Al  0.750  0.206  0.343
Al  0.250  0.355  0.964
Al  0.750  0.645  0.036

Calculated formation energy: -0.167 eV per atom
Distance to the lowest polymorph of the same formula: 0.551 eV/f.u.
Calculated total energy: -4.409 eV/atom
Space group: No. 11

***

The following is a DFT calculation (PBE) of a relaxed Pr15Tm4Al crystal.

abc: 5.118 5.118 25.735
angles: 90.00 90.00 90.00
Fractional positions:
Pr  0.500  0.500  0.000
Pr  0.500  0.500  0.196
Pr  0.500  0.500  0.399
Pr  0.500  0.500  0.601
Pr  0.500  0.500  0.804
Pr  0.500  0.000  0.094
Pr  0.500  0.000  0.298
Pr  0.500  0.000  0.500
Pr  0.500  0.000  0.702
Pr  0.500  0.000  0.906
Pr  0.000  0.500  0.094
Pr  0.000  0.500  0.298
Pr  0.000  0.500  0.500
Pr  0.000  0.500  0.702
Pr  0.000  0.500  0.906
Tm  0.000  0.000  0.197
Tm  0.000  0.000  0.399
Tm  0.000  0.000  0.601
Tm  0.000  0.000  0.803
Al  0.000  0.000  0.000

Calculated formation energy: -0.014 eV per atom
Calculated total energy: -4.680 eV/atom
Space group: No. 123

***

The following is a DFT calculation (PBE) of a relaxed PrTmAl2 crystal.

abc: 5.174 5.174 5.174
angles: 60.00 60.00 60.00
Fractional positions:
Pr  0.500  0.500  0.500
Tm  0.000  0.000  0.000
Al  0.250  0.250  0.250
Al  0.750  0.750  0.750

Calculated formation energy: -0.352 eV per atom
Distance to the lowest polymorph of the same formula: 0.074 eV/f.u.
Calculated total energy: -4.536 eV/atom
Space group: No. 225

***

The following is a DFT calculation (PBE) of a relaxed Pr2Tm4Al crystal.

abc: 3.588 3.588 19.238
angles: 84.65 84.65 60.00
Fractional positions:
Pr  0.805  0.805  0.585
Pr  0.195  0.195  0.415
Tm  0.705  0.705  0.884
Tm  0.912  0.912  0.264
Tm  0.295  0.295  0.116
Tm  0.088  0.088  0.736
Al  0.000  0.000  0.000

Calculated formation energy: -0.029 eV per atom
Calculated total energy: -4.484 eV/atom
Space group: No. 166

***

The following is a DFT calculation (PBE) of a relaxed PrTmAl2 crystal.

abc: 3.659 3.659 7.277
angles: 90.00 90.00 90.00
Fractional positions:
Pr  0.500  0.500  0.500
Tm  0.500  0.500  0.000
Al  0.000  0.000  0.773
Al  0.000  0.000  0.227

Calculated formation energy: -0.370 eV per atom
Distance to the lowest polymorph of the same formula: 0.000 eV/f.u.
Calculated total energy: -4.554 eV/atom
Space group: No. 123

***

The following is a DFT calculation (PBE) of a relaxed PrTm3Al2 crystal.

abc: 5.215 9.017 8.893
angles: 124.78 90.00 106.81
Fractional positions:
Pr  0.868  0.735  0.917
Pr  0.132  0.265  0.083
Tm  0.312  0.624  0.613
Tm  0.938  0.875  0.591
Tm  0.616  0.233  0.702
Tm  0.384  0.767  0.298
Tm  0.062  0.125  0.409
Tm  0.688  0.376  0.387
Al  0.520  0.039  0.881
Al  0.480  0.961  0.119
Al  0.770  0.540  0.143
Al  0.230  0.460  0.857

Calculated formation energy: -0.184 eV per atom
Distance to the lowest polymorph of the same formula: 0.447 eV/f.u.
Calculated total energy: -4.464 eV/atom
Space group: No. 12

***

The following is a DFT calculation (PBE) of a relaxed PrTm3Al4 crystal.

abc: 5.075 7.275 10.149
angles: 90.00 90.00 90.00
Fractional positions:
Pr  0.000  0.500  0.000
Pr  0.000  0.500  0.500
Tm  0.000  0.000  0.000
Tm  0.000  0.000  0.500
Tm  0.499  0.000  0.750
Tm  0.501  0.000  0.250
Tm  0.500  0.500  0.750
Tm  0.500  0.500  0.250
Al  0.500  0.762  0.000
Al  0.500  0.762  0.500
Al  0.500  0.238  0.000
Al  0.500  0.238  0.500
Al  0.999  0.762  0.750
Al  0.001  0.762  0.250
Al  0.001  0.238  0.250
Al  0.999  0.238  0.750

Calculated formation energy: -0.369 eV per atom
Calculated total energy: -4.515 eV/atom
Space group: No. 123

***

The following is a DFT calculation (PBE) of a relaxed PrTm5Al3 crystal.

abc: 6.608 9.038 9.038
angles: 120.00 90.00 90.00
Fractional positions:
Pr  0.000  0.000  0.000
Pr  0.500  0.000  0.000
Tm  0.000  0.667  0.333
Tm  0.500  0.333  0.667
Tm  0.000  0.333  0.667
Tm  0.500  0.667  0.333
Tm  0.750  0.668  0.668
Tm  0.750  0.000  0.332
Tm  0.750  0.332  0.000
Tm  0.250  0.332  0.332
Tm  0.250  0.000  0.668
Tm  0.250  0.668  0.000
Al  0.750  0.341  0.341
Al  0.750  0.000  0.659
Al  0.750  0.659  0.000
Al  0.250  0.659  0.659
Al  0.250  0.000  0.341
Al  0.250  0.341  0.000

Calculated formation energy: -0.256 eV per atom
Calculated total energy: -4.519 eV/atom
Space group: No. 193